# 1
The following is a DFT calculation (PBE) of Er4Tm3Te4 after structural relaxation.

Unit cell a=9.9802 b=9.9802 c=9.9802 alpha=157.76 beta=125.42 gamma=59.66
Positions (direct):
Er (0.0202, 0.8347, 0.1855)
Er (0.3508, 0.1653, 0.1855)
Er (0.6492, 0.8347, 0.8145)
Er (0.9798, 0.1653, 0.8145)
Tm (0.0000, 0.5000, 0.5000)
Tm (0.3979, 0.3979, 0.0000)
Tm (0.6021, 0.6021, 0.0000)
Te (0.2623, 0.7623, 0.5000)
Te (0.3027, 0.0000, 0.3027)
Te (0.6973, 0.0000, 0.6973)
Te (0.7377, 0.2377, 0.5000)

Summary:
Calculated volume ... 27.7 A^3/atom
Formation energy from raw total energies ... -80.3 kJ per mole of atoms
ρ ... 9.2 g/cm³
Density of states at the Fermi level ... 1.1477 states/eV/atom
M_tot ... 0.61 μB/f.u.
Electronic total energy ... -4.85 eV/atom

=====

# 2
The following is a DFT calculation (PBE) of AlSiPb2 after structural relaxation.

Unit cell a=10.0523 b=10.0523 c=10.0523 alpha=19.75 beta=19.75 gamma=19.75
Positions (direct):
Al (0.0000, 0.0000, 0.0000)
Si (0.5000, 0.5000, 0.5000)
Pb (0.2445, 0.2445, 0.2445)
Pb (0.7555, 0.7555, 0.7555)

Summary:
Calculated volume ... 25.4 A^3/atom
Formation energy from raw total energies ... 44.8 kJ per mole of atoms
ρ ... 7.7 g/cm³
Density of states at the Fermi level ... 0.6575 states/eV/atom
M_tot ... 0.00 μB/f.u.
Electronic total energy ... -3.68 eV/atom

=====

# 3
The following is a DFT calculation (PBE) of Tb2Te3 after structural relaxation.

Unit cell a=14.5145 b=13.8447 c=7.5923 alpha=79.41 beta=69.65 gamma=30.94
Positions (direct):
Tb (0.0421, 0.0421, 0.2079)
Tb (0.1257, 0.1257, 0.6243)
Tb (0.2079, 0.2079, 0.0421)
Tb (0.3757, 0.3757, 0.8743)
Tb (0.6243, 0.6243, 0.1257)
Tb (0.7921, 0.7921, 0.9579)
Tb (0.8743, 0.8743, 0.3757)
Tb (0.9579, 0.9579, 0.7921)
Te (0.0443, 0.5402, 0.2058)
Te (0.1258, 0.6242, 0.6242)
Te (0.2058, 0.7097, 0.0443)
Te (0.2903, 0.7942, 0.4598)
Te (0.3758, 0.8742, 0.8742)
Te (0.4598, 0.9557, 0.2903)
Te (0.5402, 0.0443, 0.7097)
Te (0.6242, 0.1258, 0.1258)
Te (0.7097, 0.2058, 0.5402)
Te (0.7942, 0.2903, 0.9557)
Te (0.8742, 0.3758, 0.3758)
Te (0.9557, 0.4598, 0.7942)

Summary:
Calculated volume ... 35.7 A^3/atom
Formation energy from raw total energies ... -137.1 kJ per mole of atoms
ρ ... 6.5 g/cm³
M_tot ... 0.00 μB/f.u.
Electronic total energy ... -5.16 eV/atom